! Sc2SnH | Alexandria via LeMat-Bulk | GGA-PBE | relaxed; values from VASP
! - Fermi-level density of states: 0.584 states/eV per atom
! - E_tot: -5.6375 eV/atom
&SYSTEM
  ibrav = 0, nat = 8, ntyp = 3
/
ATOMIC_SPECIES
Sc 44.96 Sc.upf
Sn 118.71 Sn.upf
H 1.01 H.upf
CELL_PARAMETERS angstrom
-2.6306 0.1349 3.3159
3.1470 -1.2418 2.5471
1.9774 7.5963 1.2581
ATOMIC_POSITIONS angstrom
Sc 2.0517 5.5632 5.4570
Sc -0.1975 3.5888 3.7527
Sc 0.4421 0.9262 1.6641
Sc 2.6913 2.9005 3.3684
Sn 1.6827 5.6911 2.4549
Sn 0.8111 0.7982 4.6661
H 0.9643 2.9317 1.9967
H 1.5295 3.5576 5.1244

=====

! ScSnH | Alexandria via LeMat-Bulk | GGA-PBE | relaxed; values from VASP
! - Fermi-level density of states: 0.217 states/eV per atom
! - E_tot: -5.1547 eV/atom
&SYSTEM
  ibrav = 0, nat = 3, ntyp = 3
/
ATOMIC_SPECIES
Sc 44.96 Sc.upf
H 1.01 H.upf
Sn 118.71 Sn.upf
CELL_PARAMETERS angstrom
4.9082 0.0000 0.0000
0.0000 3.3908 0.0000
0.0000 -1.6954 2.9365
ATOMIC_POSITIONS angstrom
Sc 0.8174 1.6954 0.9788
H 0.8192 0.0000 0.0000
Sn 3.2716 0.0000 1.9577

=====

! Sc3SnH | Alexandria via LeMat-Bulk | GGA-PBE | relaxed; values from VASP
! - Fermi-level density of states: 1.127 states/eV per atom
! - E_tot: -5.7809 eV/atom
&SYSTEM
  ibrav = 0, nat = 5, ntyp = 3
/
ATOMIC_SPECIES
Sc 44.96 Sc.upf
H 1.01 H.upf
Sn 118.71 Sn.upf
CELL_PARAMETERS angstrom
-3.3485 -2.9269 -0.5733
1.1732 -0.5001 -4.2990
2.7422 -3.3602 1.1392
ATOMIC_POSITIONS angstrom
Sc 0.5866 -0.2500 -2.1495
Sc 1.3711 -1.6801 0.5696
Sc -1.6742 -1.4635 -0.2867
H 0.0000 0.0000 0.0000
Sn 0.2834 -3.3936 -1.8666